{
  "formula": "Zr2PCl",
  "functional": "PBE",
  "state": "relaxed",
  "energy_ev_per_atom": -6.940,
  "volume_a3_per_cell": 147.5,
  "formation_energy_uncorrected_ev_per_atom": -0.8513,
  "space_group": "Amm2",
  "lattice_angstrom": [[4.0570, 0.0000, 0.0000], [0.0000, 3.4106, 0.0000], [0.0000, 0.0000, 10.6623]],
  "species": ["Zr", "Zr", "Zr", "Zr", "P", "P", "Cl", "Cl"],
  "frac_coords": [[0.0000, 0.0000, 0.0000], [0.0000, 0.5000, 0.5000], [0.5000, 0.0000, 0.2633], [0.5000, 0.5000, 0.7633], [0.0000, 0.0000, 0.7145], [0.0000, 0.5000, 0.2145], [0.5000, 0.0000, 0.4917], [0.5000, 0.5000, 0.9917]]
}